(1)
Here is an optimized crystal structure of DyTmNiRu from Alexandria via LeMat-Bulk. Energies are from PBE-GGA.

The structure belongs to space group F-43m (No. 216); the cell edges are 6.734, 6.734 and 6.734 Å and the angles 90.00°, 90.00° and 90.00°. The inequivalent atoms are Dy at (0.000, 0.000, 0.000), Tm at (0.000, 0.000, 0.500), Ni at (0.250, 0.250, 0.250) and Ru at (0.250, 0.250, 0.750).

The uncorrected energy comes out at -6.466 eV/atom. As for the crystal system: cubic. Its calculated volume is 19.08 Å³/atom. As for the formation enthalpy at 0 K: -0.43 eV/atom. The energy above the lowest structure with this stoichiometry comes out at 0.020 eV per atom.

=====

(2)
Here is an optimized crystal structure of Dy4ZnNiRu2 from Alexandria via LeMat-Bulk. Energies are from PBE-GGA.

The structure belongs to space group R-3m (No. 166, hexagonal axes); the cell edges are 4.8513, 4.8513 and 23.8287 Å and the angles 90.00°, 90.00° and 120.00°. The inequivalent atoms are Dy at (0.0000, 0.0000, 0.1218), Dy at (0.0000, 0.0000, 0.3726), Zn at (0.0000, 0.0000, 0.5000), Ni at (0.0000, 0.0000, 0.0000) and Ru at (0.0000, 0.0000, 0.2493).

The uncorrected energy comes out at -5.888 eV/atom. As for the crystal system: trigonal. Its calculated volume is 20.24 Å³/atom. As for the formation enthalpy at 0 K: -0.39 eV/atom.

=====

(3)
Here is an optimized crystal structure of Dy2Zn5NiRu2 from Alexandria via LeMat-Bulk. Energies are from PBE-GGA.

The structure belongs to space group P4/mbm (No. 127); the cell edges are 9.988, 9.988 and 3.396 Å and the angles 90.00°, 90.00° and 90.00°. The inequivalent atoms are Dy at (0.177, 0.323, 0.000), Zn at (0.000, 0.500, 0.500), Zn at (0.053, 0.817, 0.500), Ni at (0.000, 0.000, 0.000) and Ru at (0.134, 0.634, 0.000).

The uncorrected energy comes out at -4.184 eV/atom. As for the crystal system: tetragonal. Its calculated volume is 16.94 Å³/atom. As for the formation enthalpy at 0 K: -0.19 eV/atom.

=====

(4)
Here is an optimized crystal structure of DyZnNiRu from Alexandria via LeMat-Bulk. Energies are from PBE-GGA.

The structure belongs to space group F-43m (No. 216); the cell edges are 6.365, 6.365 and 6.365 Å and the angles 90.00°, 90.00° and 90.00°. The inequivalent atoms are Dy at (0.000, 0.000, 0.000), Zn at (0.000, 0.000, 0.500), Ni at (0.250, 0.250, 0.750) and Ru at (0.250, 0.250, 0.250).

The uncorrected energy comes out at -5.405 eV/atom. As for the crystal system: cubic. Its calculated volume is 16.11 Å³/atom. As for the formation enthalpy at 0 K: -0.17 eV/atom.

=====

(5)
Here is an optimized crystal structure of DyZrNiRu from Alexandria via LeMat-Bulk. Energies are from PBE-GGA.

The structure belongs to space group F-43m (No. 216); the cell edges are 6.643, 6.643 and 6.643 Å and the angles 90.00°, 90.00° and 90.00°. The inequivalent atoms are Dy at (0.000, 0.000, 0.000), Zr at (0.000, 0.000, 0.500), Ni at (0.250, 0.250, 0.750) and Ru at (0.250, 0.250, 0.250).

The uncorrected energy comes out at -7.455 eV/atom. As for the crystal system: cubic. Its calculated volume is 18.32 Å³/atom. As for the formation enthalpy at 0 K: -0.40 eV/atom.

=====

(6)
Here is an optimized crystal structure of Dy5NiS4 from Alexandria via LeMat-Bulk. Energies are from PBE-GGA.

The structure belongs to space group C2/m (No. 12); the cell edges are 13.215, 3.849 and 9.714 Å and the angles 90.00°, 120.06° and 90.00°. The inequivalent atoms are Dy at (0.000, 0.000, 0.000), Dy at (0.095, 0.500, 0.404), Dy at (0.196, 0.000, 0.795), Ni at (0.000, 0.000, 0.500), S at (0.103, 0.500, 0.908) and S at (0.197, 0.000, 0.298).

The uncorrected energy comes out at -6.201 eV/atom. As for the crystal system: monoclinic. Its calculated volume is 21.38 Å³/atom. For the energy relative to the elements, uncorrected, the calculation gives -1.67 eV per atom.